No. 1
VASP calculation (PBE) on an optimized crystal structure of Y4AlCd.

The total energy comes out at -113.798 eV/cell. The calculation puts the energy of formation at 0.344 eV/atom. For the polymorph energy (0 for the lowest one), the calculation gives 343.3 meV/atom.

a = 8.8742 Å, b = 8.8742 Å, c = 8.8742 Å
α = 90.00°, β = 90.00°, γ = 90.00°
Space group F-43m (No. 216)
Symmetry-distinct sites (fractional):
Y 0.1245 0.1245 0.1245 (multiplicity 16)
Al 0.2500 0.2500 0.7500 (multiplicity 4)
Cd 0.0000 0.0000 0.5000 (multiplicity 4)

=====

No. 2
VASP calculation (PBE) on an optimized crystal structure of LiCO.

The total energy comes out at -38.433 eV/cell. For the polymorph energy (0 for the lowest one), the calculation gives 64.7 meV/atom.

a = 2.5983 Å, b = 3.7021 Å, c = 5.5474 Å
α = 101.80°, β = 90.37°, γ = 110.43°
Space group P-1 (No. 2)
Symmetry-distinct sites (fractional):
Li 0.0971 0.1881 0.3712 (multiplicity 2)
C 0.2731 0.5447 0.0612 (multiplicity 2)
O 0.3696 0.7327 0.3067 (multiplicity 2)

=====

No. 3
VASP calculation (PBE) on an optimized crystal structure of PrPd2.

The total energy comes out at -33.334 eV/cell. The calculation puts the energy of formation at -0.501 eV/atom.

a = 3.9790 Å, b = 3.9790 Å, c = 8.9230 Å
α = 90.00°, β = 90.00°, γ = 90.00°
Space group I4/mmm (No. 139)
Symmetry-distinct sites (fractional):
Pr 0.0000 0.0000 0.0000 (multiplicity 2)
Pd 0.0000 0.5000 0.2500 (multiplicity 4)

=====

No. 4
VASP calculation (PBE) on an optimized crystal structure of BeCuRh2.

The total energy comes out at -46.244 eV/cell. The calculation puts the energy of formation at -0.149 eV/atom.

a = 9.2196 Å, b = 2.7562 Å, c = 4.3870 Å
α = 90.00°, β = 116.76°, γ = 90.00°
Space group C2/m (No. 12)
Symmetry-distinct sites (fractional):
Be 0.0000 0.0000 0.0000 (multiplicity 2)
Cu 0.0000 0.5000 0.5000 (multiplicity 2)
Rh 0.2175 0.5000 0.2186 (multiplicity 4)

=====

No. 5
VASP calculation (PBE) on an optimized crystal structure of SrYCuRh.

The total energy comes out at -82.360 eV/cell. The calculation puts the energy of formation at -0.249 eV/atom.

a = 7.1125 Å, b = 7.1125 Å, c = 7.1125 Å
α = 90.00°, β = 90.00°, γ = 90.00°
Space group F-43m (No. 216)
Symmetry-distinct sites (fractional):
Sr 0.0000 0.0000 0.0000 (multiplicity 4)
Y 0.0000 0.0000 0.5000 (multiplicity 4)
Cu 0.2500 0.2500 0.7500 (multiplicity 4)
Rh 0.2500 0.2500 0.2500 (multiplicity 4)

=====

No. 6
VASP calculation (PBE) on an optimized crystal structure of Ba5SiH2N4.

The total energy comes out at -122.782 eV/cell.

a = 7.8699 Å, b = 9.9783 Å, c = 6.4093 Å
α = 90.00°, β = 90.00°, γ = 90.00°
Space group Amm2 (No. 38)
Symmetry-distinct sites (fractional):
Ba 0.0000 0.0000 0.0000 (multiplicity 2)
Ba 0.2845 0.1827 0.4878 (multiplicity 8)
Si 0.5000 0.0000 0.0084 (multiplicity 2)
H 0.0000 0.2295 0.7430 (multiplicity 4)
N 0.3106 0.0000 0.1731 (multiplicity 4)
N 0.5000 0.1442 0.8365 (multiplicity 4)

=====

No. 7
VASP calculation (PBE) on an optimized crystal structure of Y2Ga5Rh4.

The total energy comes out at -261.352 eV/cell. The calculation puts the energy of formation at -0.715 eV/atom.

a = 5.3498 Å, b = 9.5451 Å, c = 15.7163 Å
α = 90.00°, β = 90.00°, γ = 90.00°
Space group Fmmm (No. 69)
Symmetry-distinct sites (fractional):
Y 0.0000 0.0000 0.1518 (multiplicity 8)
Ga 0.0000 0.0000 0.5000 (multiplicity 4)
Ga 0.2500 0.2500 0.0000 (multiplicity 8)
Ga 0.2500 0.2500 0.2500 (multiplicity 8)
Rh 0.0000 0.1577 0.3730 (multiplicity 16)

=====

No. 8
VASP calculation (PBE) on an optimized crystal structure of K2ReIr.

The total energy comes out at -37.390 eV/cell. The calculation puts the energy of formation at 1.202 eV/atom. For the polymorph energy (0 for the lowest one), the calculation gives 640.1 meV/atom.

a = 3.7941 Å, b = 3.7941 Å, c = 11.4297 Å
α = 90.00°, β = 90.00°, γ = 90.00°
Space group I4/mmm (No. 139)
Symmetry-distinct sites (fractional):
K 0.0000 0.5000 0.2500 (multiplicity 4)
Re 0.0000 0.0000 0.0000 (multiplicity 2)
Ir 0.0000 0.0000 0.5000 (multiplicity 2)

=====

No. 9
VASP calculation (PBE) on an optimized crystal structure of AcBi2As2Pd7.

The total energy comes out at -125.189 eV/cell. The calculation puts the energy of formation at -0.423 eV/atom.

a = 6.2636 Å, b = 7.0867 Å, c = 11.7885 Å
α = 90.00°, β = 96.17°, γ = 90.00°
Space group C2/m (No. 12)
Symmetry-distinct sites (fractional):
Ac 0.0000 0.0000 0.0000 (multiplicity 2)
Bi 0.1530 0.0000 0.3832 (multiplicity 4)
As 0.1838 0.5000 0.1953 (multiplicity 4)
Pd 0.0000 0.5000 0.0000 (multiplicity 2)
Pd 0.1212 0.5000 0.4024 (multiplicity 4)
Pd 0.1341 0.3007 0.7817 (multiplicity 8)

=====

No. 10
VASP calculation (PBE) on an optimized crystal structure of TiZn2In2Pd5.

The total energy comes out at -91.380 eV/cell. The calculation puts the energy of formation at -0.381 eV/atom.

a = 10.6208 Å, b = 10.6208 Å, c = 3.0696 Å
α = 90.00°, β = 90.00°, γ = 90.00°
Space group P4/mbm (No. 127)
Symmetry-distinct sites (fractional):
Ti 0.0000 0.0000 0.0000 (multiplicity 2)
Zn 0.1389 0.3611 0.0000 (multiplicity 4)
In 0.1542 0.6542 0.0000 (multiplicity 4)
Pd 0.0000 0.5000 0.5000 (multiplicity 2)
Pd 0.1234 0.1591 0.5000 (multiplicity 8)

=====

No. 11
VASP calculation (PBE) on an optimized crystal structure of Pr4TlAsI2.

The total energy comes out at -36.868 eV/cell.

a = 7.7894 Å, b = 4.4463 Å, c = 8.1064 Å
α = 90.00°, β = 108.54°, γ = 90.00°
Space group P2/m (No. 10)
Symmetry-distinct sites (fractional):
Pr 0.2220 0.0000 0.2046 (multiplicity 2)
Pr 0.2464 0.5000 0.7840 (multiplicity 2)
Tl 0.5000 0.0000 0.0000 (multiplicity 1)
As 0.0000 0.5000 0.0000 (multiplicity 1)
I 0.0000 0.0000 0.5000 (multiplicity 1)
I 0.5000 0.5000 0.5000 (multiplicity 1)

=====

No. 12
VASP calculation (PBE) on an optimized crystal structure of MoAuCl2.

The total energy comes out at -15.207 eV/cell. For the polymorph energy (0 for the lowest one), the calculation gives 842.8 meV/atom.

a = 4.5046 Å, b = 4.5046 Å, c = 3.8679 Å
α = 90.00°, β = 90.00°, γ = 90.00°
Space group P4/mmm (No. 123)
Symmetry-distinct sites (fractional):
Mo 0.0000 0.0000 0.0000 (multiplicity 1)
Au 0.5000 0.5000 0.0000 (multiplicity 1)
Cl 0.0000 0.5000 0.5000 (multiplicity 2)